No. 1
A geometry-optimized ReNiRh2 structure, computed with PBE.

Spin magnetization ... 0.00 μB/atom
Energy relative to the lowest polymorph listed for this composition ... 143 meV per atom
Energy ... -8.16 eV per atom
Crystal system ... tetragonal
Energy of formation from the pure elements ... 27 kJ/mol of formula units

a b c (Å): 3.8221 3.8221 3.7294
angles (deg): 90.00 90.00 90.00
Last column: nearest neighbours and their distance in Å.
Space group P4/mmm (No. 123)
Symmetry-distinct sites (fractional):
1 Re 0.0000 0.0000 0.0000 [1 per cell]  8 Rh 2.67, 4 Ni 2.70
2 Ni 0.5000 0.5000 0.0000 [1 per cell]  8 Rh 2.67, 4 Re 2.70
3 Rh 0.0000 0.5000 0.5000 [2 per cell]  4 Re 2.67, 4 Ni 2.67, 4 Rh 2.70

***

No. 2
A geometry-optimized ReNiRh structure, computed with PBE.

Spin magnetization ... 0.00 μB/atom
Energy relative to the lowest polymorph listed for this composition ... 307 meV per atom
Energy ... -8.34 eV per atom
Crystal system ... monoclinic
Energy of formation from the pure elements ... 56 kJ/mol of formula units

a b c (Å): 4.6709 2.6981 6.8145
angles (deg): 90.00 102.46 90.00
Last column: nearest neighbours and their distance in Å.
Space group Cm (No. 8)
Symmetry-distinct sites (fractional):
1 Re 0.0000 0.0000 0.0000 [2 per cell]  1 Rh 2.44, 3 Ni 2.57, 6 Re 2.70
2 Ni 0.4306 0.0000 0.3080 [2 per cell]  3 Re 2.57, 3 Rh 2.66-2.67, 6 Ni 2.70
3 Rh 0.3679 0.5000 0.6327 [2 per cell]  1 Re 2.44, 3 Ni 2.66-2.67, 6 Rh 2.70

***

No. 3
A geometry-optimized Re2NiRh6 structure, computed with PBE.

Spin magnetization ... 0.00 μB/atom
Energy relative to the lowest polymorph listed for this composition ... 0 meV per atom
Energy ... -8.38 eV per atom
Crystal system ... monoclinic
Energy of formation from the pure elements ... -62 kJ/mol of formula units

a b c (Å): 8.5311 3.8322 8.0983
angles (deg): 90.00 107.77 90.00
Last column: nearest neighbours and their distance in Å.
Space group C2/m (No. 12)
Symmetry-distinct sites (fractional):
1 Re 0.1701 0.0000 0.2236 [4 per cell]  10 Rh 2.65-2.73, 2 Ni 2.73
2 Ni 0.0000 0.5000 0.0000 [2 per cell]  8 Rh 2.61-2.72, 4 Re 2.73
3 Rh 0.9996 0.5000 0.3216 [4 per cell]  1 Ni 2.61, 3 Re 2.67-2.68, 8 Rh 2.68-2.89
4 Rh 0.1652 0.0000 0.8943 [4 per cell]  4 Re 2.65-2.73, 3 Ni 2.67-2.72, 5 Rh 2.68-2.74
5 Rh 0.1709 0.0000 0.5576 [4 per cell]  9 Rh 2.67-2.78, 3 Re 2.68-2.70

***

No. 4
A geometry-optimized ReNi14Rh structure, computed with PBE.

Spin magnetization ... 0.45 μB/atom
Energy ... -6.26 eV per atom
Crystal system ... orthorhombic
Energy of formation from the pure elements ... 59 kJ/mol of formula units

a b c (Å): 8.2252 5.0855 8.7419
angles (deg): 90.00 90.00 90.00
Last column: nearest neighbours and their distance in Å.
Space group Amm2 (No. 38)
Symmetry-distinct sites (fractional):
1 Re 0.0000 0.0000 0.0000 [2 per cell]  10 Ni 2.52-2.54, 2 Rh 2.54
2 Ni 0.0000 0.2500 0.2489 [4 per cell]  2 Rh 2.52-2.54, 2 Re 2.52-2.54, 8 Ni 2.53-2.56
3 Ni 0.2504 0.0000 0.8328 [4 per cell]  11 Ni 2.52-2.54, 1 Re 2.53
4 Ni 0.2541 0.2472 0.0831 [8 per cell]  10 Ni 2.49-2.57, 1 Re 2.54, 1 Rh 2.56
5 Ni 0.2560 0.0000 0.3315 [4 per cell]  11 Ni 2.48-2.56, 1 Rh 2.57
6 Ni 0.5000 0.0000 0.1643 [2 per cell]  12 Ni 2.48-2.54
7 Ni 0.5000 0.0000 0.6650 [2 per cell]  12 Ni 2.50-2.54
8 Ni 0.5000 0.2492 0.9146 [4 per cell]  12 Ni 2.49-2.55
9 Rh 0.0000 0.0000 0.5000 [2 per cell]  10 Ni 2.52-2.57, 2 Re 2.54

***

No. 5
A geometry-optimized ReNiRh2 structure, computed with PBE.

Spin magnetization ... 0.00 μB/atom
Energy relative to the lowest polymorph listed for this composition ... 0 meV per atom
Energy ... -8.31 eV per atom
Crystal system ... orthorhombic
Energy of formation from the pure elements ... -28 kJ/mol of formula units

a b c (Å): 2.7019 3.7796 5.3321
angles (deg): 90.00 90.00 90.00
Last column: nearest neighbours and their distance in Å.
Space group Pmmm (No. 47)
Symmetry-distinct sites (fractional):
1 Re 0.0000 0.0000 0.0000 [1 per cell]  2 Ni 2.67, 8 Rh 2.69, 2 Re 2.70
2 Ni 0.0000 0.0000 0.5000 [1 per cell]  2 Re 2.67, 8 Rh 2.67, 2 Ni 2.70
3 Rh 0.5000 0.5000 0.2533 [2 per cell]  4 Rh 2.63-2.70, 4 Ni 2.67, 4 Re 2.69

***

No. 6
A geometry-optimized ReNiRh2 structure, computed with PBE.

Spin magnetization ... 0.00 μB/atom
Energy relative to the lowest polymorph listed for this composition ... 84 meV per atom
Energy ... -8.22 eV per atom
Crystal system ... tetragonal
Energy of formation from the pure elements ... 4 kJ/mol of formula units

a b c (Å): 3.7541 3.7541 7.7145
angles (deg): 90.00 90.00 90.00
Last column: nearest neighbours and their distance in Å.
Space group I-4m2 (No. 119)
Symmetry-distinct sites (fractional):
1 Re 0.0000 0.0000 0.0000 [2 per cell]  8 Rh 2.65-2.69, 4 Ni 2.69
2 Ni 0.0000 0.5000 0.7500 [2 per cell]  8 Rh 2.65-2.69, 4 Re 2.69
3 Rh 0.0000 0.0000 0.5000 [2 per cell]  4 Re 2.65, 4 Ni 2.69, 4 Rh 2.69
4 Rh 0.0000 0.5000 0.2500 [2 per cell]  4 Ni 2.65, 4 Re 2.69, 4 Rh 2.69

***

No. 7
A geometry-optimized ReNiRh2 structure, computed with PBE.

Spin magnetization ... 0.00 μB/atom
Energy relative to the lowest polymorph listed for this composition ... 627 meV per atom
Energy ... -7.68 eV per atom
Crystal system ... tetragonal
Energy of formation from the pure elements ... 214 kJ/mol of formula units

a b c (Å): 6.7517 6.7517 5.3493
angles (deg): 90.00 90.00 90.00
Last column: nearest neighbours and their distance in Å.
Space group I-42d (No. 122)
Symmetry-distinct sites (fractional):
1 Re 0.0000 0.0000 0.0000 [4 per cell]  4 Rh 2.42, 2 Ni 2.67
2 Ni 0.0000 0.0000 0.5000 [4 per cell]  4 Rh 2.54, 2 Re 2.67
3 Rh 0.2376 0.2500 0.1250 [8 per cell]  2 Re 2.42, 2 Ni 2.54, 2 Rh 2.68

***

No. 8
A geometry-optimized ReNi2Rh2 structure, computed with PBE.

Spin magnetization ... 0.00 μB/atom
Energy relative to the lowest polymorph listed for this composition ... 270 meV per atom
Energy ... -7.52 eV per atom
Crystal system ... tetragonal
Energy of formation from the pure elements ... 108 kJ/mol of formula units

a b c (Å): 6.9003 6.9003 2.7635
angles (deg): 90.00 90.00 90.00
Last column: nearest neighbours and their distance in Å.
Space group P4/mbm (No. 127)
Symmetry-distinct sites (fractional):
1 Re 0.0000 0.0000 0.0000 [2 per cell]  4 Ni 2.72, 2 Re 2.76, 8 Rh 2.91
2 Ni 0.1260 0.3740 0.0000 [4 per cell]  6 Rh 2.41-2.50, 1 Ni 2.46
3 Rh 0.1720 0.6720 0.5000 [4 per cell]  6 Ni 2.41-2.50

***

> Look up the spin magnetization of the seventh one.

0.00 μB/atom